Entry 1:
! LiTaNO, optimized geometry, DFT PBE; values from VASP
! DFT total energy in eV/atom: -8.54
! SG: P4/mmm
! M_tot in μB/f.u.: 0.00
&SYSTEM
  ibrav = 0, nat = 8, ntyp = 4
/
ATOMIC_SPECIES
N 14.01 N.upf
Ta 180.95 Ta.upf
Li 6.94 Li.upf
O 16.00 O.upf
ATOMIC_POSITIONS angstrom
N 0.0000 2.1336 2.0630
N 2.1336 0.0000 2.0638
Ta 0.0000 0.0000 2.0634
Ta 2.1336 2.1336 2.0634
Li 0.0000 2.1336 0.0009
Li 2.1336 0.0000 4.1259
O 2.1336 2.1336 0.0000
O 0.0000 0.0000 0.0000
CELL_PARAMETERS angstrom
4.2673 0.0000 0.0000
0.0000 4.2673 0.0000
0.0000 0.0000 4.1268


Entry 2:
! Na2CuPd, optimized geometry, DFT PBE; values from VASP
! DFT total energy in eV/atom: -2.82
! SG: F-43m
&SYSTEM
  ibrav = 0, nat = 4, ntyp = 3
/
ATOMIC_SPECIES
Na 22.99 Na.upf
Cu 63.55 Cu.upf
Pd 106.42 Pd.upf
ATOMIC_POSITIONS angstrom
Na 1.6349 1.6349 1.6349
Na 3.2698 3.2698 3.2698
Cu 4.9047 4.9047 4.9047
Pd 0.0000 0.0000 0.0000
CELL_PARAMETERS angstrom
0.0000 3.2698 3.2698
3.2698 0.0000 3.2698
3.2698 3.2698 0.0000


Entry 3:
! Cs2NaOsCl6, optimized geometry, DFT PBE; values from VASP
! DFT total energy in eV/atom: -3.81
! SG: Fm-3m
! M_tot in μB/f.u.: 1.00
&SYSTEM
  ibrav = 0, nat = 10, ntyp = 4
/
ATOMIC_SPECIES
Cl 35.45 Cl.upf
Os 190.23 Os.upf
Na 22.99 Na.upf
Cs 132.91 Cs.upf
ATOMIC_POSITIONS angstrom
Cl 7.5629 5.1753 5.1753
Cl 2.7877 5.1753 5.1753
Cl 5.1753 2.7877 5.1753
Cl 5.1753 7.5629 5.1753
Cl 5.1753 5.1753 7.5629
Cl 5.1753 5.1753 2.7877
Os 5.1753 5.1753 5.1753
Na 0.0000 0.0000 0.0000
Cs 2.5877 2.5877 2.5877
Cs 7.7630 7.7630 7.7630
CELL_PARAMETERS angstrom
0.0000 5.1753 5.1753
5.1753 0.0000 5.1753
5.1753 5.1753 0.0000


Entry 4:
! KZr3Ge5, optimized geometry, DFT PBE; values from VASP
! DFT total energy in eV/atom: -5.74
! SG: P6/mmm
! M_tot in μB/f.u.: 0.02
&SYSTEM
  ibrav = 0, nat = 9, ntyp = 3
/
ATOMIC_SPECIES
K 39.10 K.upf
Ge 72.64 Ge.upf
Zr 91.22 Zr.upf
ATOMIC_POSITIONS angstrom
K 0.0000 0.0000 0.0000
Ge -2.3065 -0.3050 2.8142
Ge -3.5852 0.6500 -0.2375
Ge -3.1919 3.7564 4.4561
Ge -0.6831 3.1336 1.2668
Ge -4.4706 4.7113 1.4044
Zr -3.3886 2.2032 2.1093
Zr -2.9949 3.3846 -0.6007
Zr -1.0768 1.9521 3.9768
CELL_PARAMETERS angstrom
-4.6236 0.5020 -3.7350
-0.7873 -2.3628 5.4200
-1.3662 6.2671 2.5336


Entry 5:
! Li2Al2Zn2IrPt, optimized geometry, DFT PBE; values from VASP
! DFT total energy in eV/atom: -4.21
! SG: P-4m2
! M_tot in μB/f.u.: 0.00
&SYSTEM
  ibrav = 0, nat = 8, ntyp = 5
/
ATOMIC_SPECIES
Zn 65.41 Zn.upf
Pt 195.08 Pt.upf
Al 26.98 Al.upf
Ir 192.22 Ir.upf
Li 6.94 Li.upf
ATOMIC_POSITIONS angstrom
Zn 0.0000 2.1437 1.4943
Zn 2.1437 0.0000 4.5617
Pt 2.1437 2.1437 3.0280
Al 0.0000 2.1437 4.5838
Al 2.1437 0.0000 1.4722
Ir 0.0000 0.0000 0.0000
Li 0.0000 0.0000 3.0280
Li 2.1437 2.1437 0.0000
CELL_PARAMETERS angstrom
4.2874 0.0000 0.0000
0.0000 4.2874 0.0000
0.0000 0.0000 6.0560


Entry 6:
! LiNb2Ag, optimized geometry, DFT PBE; values from VASP
! DFT total energy in eV/atom: -5.68
! SG: F-43m
! M_tot in μB/f.u.: 1.87
&SYSTEM
  ibrav = 0, nat = 4, ntyp = 3
/
ATOMIC_SPECIES
Nb 92.91 Nb.upf
Li 6.94 Li.upf
Ag 107.87 Ag.upf
ATOMIC_POSITIONS angstrom
Nb 4.8877 4.8877 4.8877
Nb 0.0000 0.0000 0.0000
Li 3.2585 3.2585 3.2585
Ag 1.6292 1.6292 1.6292
CELL_PARAMETERS angstrom
0.0000 3.2585 3.2585
3.2585 0.0000 3.2585
3.2585 3.2585 0.0000


Entry 7:
! NdGa3S, optimized geometry, DFT PBE; values from VASP
! DFT total energy in eV/atom: -3.57
! SG: Pm-3m
! M_tot in μB/f.u.: 0.01
&SYSTEM
  ibrav = 0, nat = 5, ntyp = 3
/
ATOMIC_SPECIES
Nd 144.24 Nd.upf
S 32.06 S.upf
Ga 69.72 Ga.upf
ATOMIC_POSITIONS angstrom
Nd 0.0000 0.0000 0.0000
S 1.4765 1.5956 3.6322
Ga -0.8858 1.3561 3.0533
Ga 1.9084 -0.6630 2.8044
Ga 1.9304 2.4981 1.4068
CELL_PARAMETERS angstrom
-0.9079 -1.8050 4.4508
4.7246 0.4790 1.1580
-0.8638 4.5172 1.6557


Entry 8:
! LiBPt2, optimized geometry, DFT PBE; values from VASP
! DFT total energy in eV/atom: -4.86
! SG: F-43m
! M_tot in μB/f.u.: 0.01
&SYSTEM
  ibrav = 0, nat = 4, ntyp = 3
/
ATOMIC_SPECIES
Pt 195.08 Pt.upf
Li 6.94 Li.upf
B 10.81 B.upf
ATOMIC_POSITIONS angstrom
Pt 0.0000 0.0000 0.0000
Pt 4.4414 4.4414 4.4414
Li 1.4804 1.4804 1.4804
B 2.9609 2.9609 2.9609
CELL_PARAMETERS angstrom
0.0000 2.9609 2.9609
2.9609 0.0000 2.9609
2.9609 2.9609 0.0000


Entry 9:
! Lu4CS2N, optimized geometry, DFT PBE; values from VASP
! DFT total energy in eV/atom: -7.09
! SG: P-3m1
! M_tot in μB/f.u.: 0.00
&SYSTEM
  ibrav = 0, nat = 8, ntyp = 4
/
ATOMIC_SPECIES
Lu 174.97 Lu.upf
C 12.01 C.upf
N 14.01 N.upf
S 32.06 S.upf
ATOMIC_POSITIONS angstrom
Lu 1.7775 1.0262 11.1290
Lu 0.0000 2.0525 1.2779
Lu 1.7775 1.0262 7.4704
Lu 0.0000 2.0525 4.9365
C 0.0000 0.0000 0.0000
N 0.0000 0.0000 6.2035
S 1.7775 1.0262 3.1698
S 0.0000 2.0525 9.2371
CELL_PARAMETERS angstrom
3.5550 0.0000 0.0000
-1.7775 3.0787 0.0000
0.0000 0.0000 12.4069


Entry 10:
! Dy3AuN6, optimized geometry, DFT PBE; values from VASP
! DFT total energy in eV/atom: -7.27
! SG: P-1
! M_tot in μB/f.u.: 0.39
&SYSTEM
  ibrav = 0, nat = 10, ntyp = 3
/
ATOMIC_SPECIES
N 14.01 N.upf
Dy 162.50 Dy.upf
Au 196.97 Au.upf
ATOMIC_POSITIONS angstrom
N -1.5177 0.9983 1.2295
N -4.3169 2.8820 2.6269
N -4.1330 0.2324 -0.0030
N -1.4381 0.6673 2.5056
N -1.7015 3.6479 3.8595
N -4.3965 3.2130 1.3508
Dy -0.1225 2.6515 2.1814
Dy -2.8685 1.5723 4.1554
Dy -2.9661 2.3080 -0.2989
Au 0.0000 0.0000 0.0000
CELL_PARAMETERS angstrom
-0.1423 3.3255 -1.7263
-5.5896 -1.4227 -0.5063
-0.1027 1.9776 6.0891


Entry 11:
! NaHgAsO, optimized geometry, DFT PBE; values from VASP
! DFT total energy in eV/atom: -2.97
! SG: P4/nmm
&SYSTEM
  ibrav = 0, nat = 8, ntyp = 4
/
ATOMIC_SPECIES
Hg 200.59 Hg.upf
Na 22.99 Na.upf
As 74.92 As.upf
O 16.00 O.upf
ATOMIC_POSITIONS angstrom
Hg 3.2915 3.2915 6.1383
Hg 1.0972 1.0972 2.1394
Na 1.0972 3.2915 4.1388
Na 3.2915 1.0972 4.1388
As 3.2915 3.2915 0.5574
As 1.0972 1.0972 7.7202
O 1.0972 3.2915 0.0000
O 3.2915 1.0972 0.0000
CELL_PARAMETERS angstrom
4.3887 0.0000 0.0000
0.0000 4.3887 0.0000
0.0000 0.0000 8.2776


Entry 12:
! CsGaNi, optimized geometry, DFT PBE; values from VASP
! DFT total energy in eV/atom: -2.43
! SG: F-43m
! M_tot in μB/f.u.: 0.00
&SYSTEM
  ibrav = 0, nat = 3, ntyp = 3
/
ATOMIC_SPECIES
Ga 69.72 Ga.upf
Ni 58.69 Ni.upf
Cs 132.91 Cs.upf
ATOMIC_POSITIONS angstrom
Ga -0.9389 -9.0129 -1.3736
Ni 0.0000 0.0000 0.0000
Cs -0.3130 -3.0043 -0.4579
CELL_PARAMETERS angstrom
2.2893 -4.1389 -1.5866
-0.9566 -4.3770 2.1944
-2.5846 -3.5012 -2.4393